A plane-wave DFT calculation with PBE with a Hubbard U was carried out for a geometry-optimized Na2VCo3F12 structure.

Properties
Symmetry   R-3m
Calculated total energy   -5.02 eV per atom

Unit cell a=7.504 b=7.504 c=7.504 alpha=56.84 beta=56.84 gamma=56.84
Positions (direct):
Na 0.079 0.079 0.079
Na 0.921 0.921 0.921
V 0.500 0.500 0.500
Co 0.000 0.500 0.500
Co 0.500 0.000 0.500
Co 0.500 0.500 0.000
F 0.160 0.160 0.590
F 0.160 0.590 0.160
F 0.194 0.568 0.568
F 0.410 0.840 0.840
F 0.432 0.432 0.806
F 0.432 0.806 0.432
F 0.568 0.194 0.568
F 0.568 0.568 0.194
F 0.590 0.160 0.160
F 0.806 0.432 0.432
F 0.840 0.410 0.840
F 0.840 0.840 0.410